No. 1
Density functional theory data (PBE-GGA) for KLiCa3 after structural relaxation.

Geometry as POSCAR:
```
KLiCa3
1.0
6.6461 0.0000 0.0000
0.0000 6.6461 0.0000
0.0000 0.0000 6.6461
K Li Ca
1 1 3
direct
0.0000 0.0000 0.0000 K
0.5000 0.5000 0.5000 Li
0.0000 0.0000 0.5000 Ca
0.0000 0.5000 0.0000 Ca
0.5000 0.0000 0.0000 Ca
```

symmetry = Pm-3m (221)


No. 2
Density functional theory data (PBE-GGA) for KLiCa2 after structural relaxation.

Geometry as POSCAR:
```
KLiCa2
1.0
7.2779 -2.0403 0.0000
7.2779 2.0403 0.0000
-2.8059 0.0000 5.7818
K Li Ca
1 1 2
direct
0.0000 0.0000 0.0000 K
0.5000 0.5000 0.5000 Li
0.2185 0.2185 0.7186 Ca
0.7815 0.7815 0.2814 Ca
```

symmetry = C2/m (12)


No. 3
Density functional theory data (PBE-GGA) for KLi3Ca after structural relaxation.

Geometry as POSCAR:
```
KLi3Ca
1.0
6.1420 0.0000 0.0000
0.0000 6.1420 0.0000
0.0000 0.0000 6.1420
K Li Ca
1 3 1
direct
0.0000 0.0000 0.0000 K
0.0000 0.5000 0.5000 Li
0.5000 0.0000 0.5000 Li
0.5000 0.5000 0.0000 Li
0.5000 0.5000 0.5000 Ca
```

symmetry = Pm-3m (221)


No. 4
Density functional theory data (PBE-GGA) for KLi2Ca after structural relaxation.

Geometry as POSCAR:
```
KLi2Ca
1.0
2.7425 -2.7505 0.0000
2.7425 2.7505 0.0000
0.0000 0.0000 9.7539
K Li Ca
1 2 1
direct
0.0000 0.0000 0.0000 K
0.0000 0.0000 0.4206 Li
0.5000 0.5000 0.2915 Li
0.5000 0.5000 0.6420 Ca
```

symmetry = Cmm2 (35)


No. 5
Density functional theory data (PBE-GGA) for KLiCa2 after structural relaxation.

Geometry as POSCAR:
```
KLiCa2
1.0
3.8603 0.0000 0.0000
0.0000 6.2009 0.0000
-1.2032 0.0000 7.1532
K Li Ca
1 1 2
direct
0.0000 0.0000 0.0000 K
0.5000 0.0000 0.5000 Li
0.2882 0.5000 0.7290 Ca
0.7118 0.5000 0.2710 Ca
```

symmetry = P2/m (10)


No. 6
Density functional theory data (PBE-GGA) for KLiCa2 after structural relaxation.

Geometry as POSCAR:
```
KLiCa2
1.0
0.0000 4.4289 4.4289
4.4289 0.0000 4.4289
4.4289 4.4289 0.0000
K Li Ca
1 1 2
direct
0.0000 0.0000 0.0000 K
0.2500 0.2500 0.2500 Li
0.5000 0.5000 0.5000 Ca
0.7500 0.7500 0.7500 Ca
```

symmetry = F-43m (216)


No. 7
Density functional theory data (PBE-GGA) for KLi4Ca after structural relaxation.

Geometry as POSCAR:
```
KLi4Ca
1.0
0.0000 4.5289 4.5289
4.5289 0.0000 4.5289
4.5289 4.5289 0.0000
K Li Ca
1 4 1
direct
0.0000 0.0000 0.0000 K
0.1316 0.6228 0.6228 Li
0.6228 0.1316 0.6228 Li
0.6228 0.6228 0.1316 Li
0.6228 0.6228 0.6228 Li
0.2500 0.2500 0.2500 Ca
```

symmetry = F-43m (216)


No. 8
Density functional theory data (PBE-GGA) for KLi2Ca after structural relaxation.

Geometry as POSCAR:
```
KLi2Ca
1.0
0.0000 4.2119 4.2119
4.2119 0.0000 4.2119
4.2119 4.2119 0.0000
K Li Ca
1 2 1
direct
0.0000 0.0000 0.0000 K
0.2500 0.2500 0.2500 Li
0.7500 0.7500 0.7500 Li
0.5000 0.5000 0.5000 Ca
```

symmetry = Fm-3m (225)


No. 9
Density functional theory data (PBE-GGA) for KLiCa2 after structural relaxation.

Geometry as POSCAR:
```
KLiCa2
1.0
3.8013 -6.5278 0.0000
3.8013 6.5278 0.0000
-1.6240 0.0000 3.4943
K Li Ca
1 1 2
direct
0.0000 0.0000 0.0000 K
0.5000 0.5000 0.0000 Li
0.0000 0.5000 0.5000 Ca
0.5000 0.0000 0.5000 Ca
```

symmetry = C2/m (12)


No. 10
Density functional theory data (PBE-GGA) for KLiCa2 after structural relaxation.

Geometry as POSCAR:
```
KLiCa2
1.0
1.9703 1.1375 12.7475
-1.9703 1.1375 12.7475
0.0000 -2.2751 12.7475
K Li Ca
1 1 2
direct
0.0000 0.0000 0.0000 K
0.5000 0.5000 0.5000 Li
0.2371 0.2371 0.2371 Ca
0.7629 0.7629 0.7629 Ca
```

symmetry = R-3m (166)


No. 11
Density functional theory data (PBE-GGA) for KLiCa2 after structural relaxation.

Geometry as POSCAR:
```
KLiCa2
1.0
1.9951 1.1519 12.4292
-1.9951 1.1519 12.4292
0.0000 -2.3038 12.4292
K Li Ca
1 1 2
direct
0.0000 0.0000 0.0000 K
0.1667 0.1667 0.1667 Li
0.5682 0.5682 0.5682 Ca
0.7653 0.7653 0.7653 Ca
```

symmetry = R3m (160)


No. 12
Density functional theory data (PBE-GGA) for KLiCa2 after structural relaxation.

Geometry as POSCAR:
```
KLiCa2
1.0
4.3339 0.0000 0.0000
0.0000 6.2330 0.0000
0.0000 0.0000 6.3672
K Li Ca
1 1 2
direct
0.0000 0.0000 0.0000 K
0.5000 0.5000 0.0000 Li
0.0000 0.5000 0.5000 Ca
0.5000 0.0000 0.5000 Ca
```

symmetry = Pmmm (47)


In the order shown, the computed density of states at the Fermi level values come out to 6.02; 3.39; 4.13; 2.46; 3.43; 3.90; 3.32; 3.06; 3.66; 4.70; 3.99; 3.62 states/eV per cell.
In the order shown, the computed ΔE_f values come out to 0.8398; 0.1451; 0.4783; 0.1011; 0.1791; 0.2188; 0.0894; 0.1771; 0.1928; 0.1549; 0.1510; 0.1866 eV/atom.